--- w ---
Density functional theory data (PBE) for an optimized crystal structure of Ta2BePb.

```
data_Ta2BePb
_symmetry_space_group_name_H-M 'F m -3 m'
_symmetry_Int_Tables_number 225
_symmetry_space_group_name_Hall '-F 4 2 3'
_cell_length_a 6.575
_cell_length_b 6.575
_cell_length_c 6.575
_cell_angle_alpha 90.00
_cell_angle_beta 90.00
_cell_angle_gamma 90.00
loop_
_atom_site_label
_atom_site_type_symbol
_atom_site_fract_x
_atom_site_fract_y
_atom_site_fract_z
_atom_site_occupancy
Ta1 Ta 0.250 0.250 0.250 1
Be1 Be 0.000 0.000 0.000 1
Pb1 Pb 0.000 0.000 0.500 1
```

--- x ---
Density functional theory data (PBE) for an optimized crystal structure of Ta2BePb.

```
data_Ta2BePb
_symmetry_space_group_name_H-M 'C m m m'
_symmetry_Int_Tables_number 65
_symmetry_space_group_name_Hall '-C 2 2'
_cell_length_a 3.873
_cell_length_b 4.610
_cell_length_c 7.903
_cell_angle_alpha 90.00
_cell_angle_beta 90.00
_cell_angle_gamma 90.00
loop_
_atom_site_label
_atom_site_type_symbol
_atom_site_fract_x
_atom_site_fract_y
_atom_site_fract_z
_atom_site_occupancy
Ta1 Ta 0.000 0.000 0.199 1
Be1 Be 0.000 0.500 0.000 1
Pb1 Pb 0.000 0.500 0.500 1
```

--- y ---
Density functional theory data (PBE) for an optimized crystal structure of Ta2BePb.

```
data_Ta2BePb
_symmetry_space_group_name_H-M 'I -4 2 d'
_symmetry_Int_Tables_number 122
_symmetry_space_group_name_Hall 'I -4 2bw'
_cell_length_a 3.921
_cell_length_b 3.921
_cell_length_c 20.169
_cell_angle_alpha 90.00
_cell_angle_beta 90.00
_cell_angle_gamma 90.00
loop_
_atom_site_label
_atom_site_type_symbol
_atom_site_fract_x
_atom_site_fract_y
_atom_site_fract_z
_atom_site_occupancy
Ta1 Ta 0.243 0.250 0.125 1
Be1 Be 0.000 0.000 0.000 1
Pb1 Pb 0.000 0.000 0.500 1
```

Quick look at relative energies in kJ/mol of atoms: w 38.5; x 0.0; y 41.2.

--- w ---
Density functional theory data (PBE) for an optimized crystal structure of Ta2BePb.

```
data_Ta2BePb
_symmetry_space_group_name_H-M 'C 1 2/m 1'
_symmetry_Int_Tables_number 12
_symmetry_space_group_name_Hall '-C 2y'
_cell_length_a 5.663
_cell_length_b 9.084
_cell_length_c 2.937
_cell_angle_alpha 90.00
_cell_angle_beta 105.85
_cell_angle_gamma 90.00
loop_
_atom_site_label
_atom_site_type_symbol
_atom_site_fract_x
_atom_site_fract_y
_atom_site_fract_z
_atom_site_occupancy
Ta1 Ta 0.250 0.250 0.000 1
Be1 Be 0.000 0.000 0.500 1
Pb1 Pb 0.000 0.500 0.500 1
```

--- x ---
Density functional theory data (PBE) for an optimized crystal structure of Ta2BePb.

```
data_Ta2BePb
_symmetry_space_group_name_H-M 'F -4 3 m'
_symmetry_Int_Tables_number 216
_symmetry_space_group_name_Hall 'F -4 2 3'
_cell_length_a 6.617
_cell_length_b 6.617
_cell_length_c 6.617
_cell_angle_alpha 90.00
_cell_angle_beta 90.00
_cell_angle_gamma 90.00
loop_
_atom_site_label
_atom_site_type_symbol
_atom_site_fract_x
_atom_site_fract_y
_atom_site_fract_z
_atom_site_occupancy
Ta1 Ta 0.000 0.000 0.000 1
Ta2 Ta 0.250 0.250 0.250 1
Be1 Be 0.000 0.000 0.500 1
Pb1 Pb 0.250 0.250 0.750 1
```

--- y ---
Density functional theory data (PBE) for an optimized crystal structure of Ta2BePb.

```
data_Ta2BePb
_symmetry_space_group_name_H-M 'P 4 m m'
_symmetry_Int_Tables_number 99
_symmetry_space_group_name_Hall 'P 4 -2'
_cell_length_a 2.977
_cell_length_b 2.977
_cell_length_c 8.450
_cell_angle_alpha 90.00
_cell_angle_beta 90.00
_cell_angle_gamma 90.00
loop_
_atom_site_label
_atom_site_type_symbol
_atom_site_fract_x
_atom_site_fract_y
_atom_site_fract_z
_atom_site_occupancy
Ta1 Ta 0.000 0.000 0.000 1
Ta2 Ta 0.500 0.500 0.265 1
Be1 Be 0.000 0.000 0.440 1
Pb1 Pb 0.500 0.500 0.710 1
```

Quick look at relative energies in kJ/mol of atoms: w 7.5; x 26.4; y 0.0.

--- w ---
Density functional theory data (PBE) for an optimized crystal structure of Ta3BePb.

```
data_Ta3BePb
_symmetry_space_group_name_H-M 'P m -3 m'
_symmetry_Int_Tables_number 221
_symmetry_space_group_name_Hall '-P 4 2 3'
_cell_length_a 4.494
_cell_length_b 4.494
_cell_length_c 4.494
_cell_angle_alpha 90.00
_cell_angle_beta 90.00
_cell_angle_gamma 90.00
loop_
_atom_site_label
_atom_site_type_symbol
_atom_site_fract_x
_atom_site_fract_y
_atom_site_fract_z
_atom_site_occupancy
Ta1 Ta 0.000 0.000 0.500 1
Be1 Be 0.000 0.000 0.000 1
Pb1 Pb 0.500 0.500 0.500 1
```

--- x ---
Density functional theory data (PBE) for an optimized crystal structure of Ta3BePb.

```
data_Ta3BePb
_symmetry_space_group_name_H-M 'P m -3 m'
_symmetry_Int_Tables_number 221
_symmetry_space_group_name_Hall '-P 4 2 3'
_cell_length_a 5.093
_cell_length_b 5.093
_cell_length_c 5.093
_cell_angle_alpha 90.00
_cell_angle_beta 90.00
_cell_angle_gamma 90.00
loop_
_atom_site_label
_atom_site_type_symbol
_atom_site_fract_x
_atom_site_fract_y
_atom_site_fract_z
_atom_site_occupancy
Ta1 Ta 0.000 0.000 0.500 1
Be1 Be 0.500 0.500 0.500 1
Pb1 Pb 0.000 0.000 0.000 1
```

Quick look at relative energies in kJ/mol of atoms: w 0.0; x 207.5.

--- w ---
Density functional theory data (PBE) for an optimized crystal structure of TaBePb3.

```
data_TaBePb3
_symmetry_space_group_name_H-M 'P m -3 m'
_symmetry_Int_Tables_number 221
_symmetry_space_group_name_Hall '-P 4 2 3'
_cell_length_a 5.514
_cell_length_b 5.514
_cell_length_c 5.514
_cell_angle_alpha 90.00
_cell_angle_beta 90.00
_cell_angle_gamma 90.00
loop_
_atom_site_label
_atom_site_type_symbol
_atom_site_fract_x
_atom_site_fract_y
_atom_site_fract_z
_atom_site_occupancy
Ta1 Ta 0.000 0.000 0.000 1
Be1 Be 0.500 0.500 0.500 1
Pb1 Pb 0.000 0.000 0.500 1
```

--- x ---
Density functional theory data (PBE) for an optimized crystal structure of TaBePb3.

```
data_TaBePb3
_symmetry_space_group_name_H-M 'P m -3 m'
_symmetry_Int_Tables_number 221
_symmetry_space_group_name_Hall '-P 4 2 3'
_cell_length_a 5.019
_cell_length_b 5.019
_cell_length_c 5.019
_cell_angle_alpha 90.00
_cell_angle_beta 90.00
_cell_angle_gamma 90.00
loop_
_atom_site_label
_atom_site_type_symbol
_atom_site_fract_x
_atom_site_fract_y
_atom_site_fract_z
_atom_site_occupancy
Ta1 Ta 0.000 0.000 0.000 1
Be1 Be 0.500 0.500 0.500 1
Pb1 Pb 0.000 0.500 0.500 1
```

Quick look at relative energies in kJ/mol of atoms: w 0.0; x 10.6.